(1)
# Li4ErTcO6 (PBE-GGA, optimized geometry)
data_Li4ErTcO6
_chemical_formula_sum 'Li8 Er2 Tc2 O12'
_space_group_name_H-M_alt 'C 1 2 1'
_space_group_IT_number 5
_cell_length_a 5.312
_cell_length_b 9.213
_cell_length_c 5.185
_cell_angle_alpha 90.00
_cell_angle_beta 109.81
_cell_angle_gamma 90.00
loop_
_space_group_symop_operation_xyz
'x,y,z'
'-x,y,-z'
'x+1/2,y+1/2,z'
'-x+1/2,y+1/2,-z'
loop_
_atom_site_label
_atom_site_fract_x
_atom_site_fract_y
_atom_site_fract_z
Li1 0.000 0.000 0.000
Li2 0.000 0.153 0.500
Li3 0.000 0.313 0.000
Li4 0.000 0.636 0.000
Er1 0.000 0.817 0.500
Tc1 0.000 0.485 0.500
O1 0.228 0.488 0.268
O2 0.229 0.332 0.741
O3 0.237 0.638 0.743
# Calculated total energy, eV per cell: -155.93
# Crystal system: monoclinic

(2)
# NdZrSb (PBE-GGA, optimized geometry)
data_NdZrSb
_chemical_formula_sum 'Nd4 Zr4 Sb4'
_space_group_name_H-M_alt 'F -4 3 m'
_space_group_IT_number 216
_space_group_name_Hall 'F -4 2 3'
_cell_length_a 7.088
_cell_length_b 7.088
_cell_length_c 7.088
_cell_angle_alpha 90.00
_cell_angle_beta 90.00
_cell_angle_gamma 90.00
loop_
_atom_site_label
_atom_site_fract_x
_atom_site_fract_y
_atom_site_fract_z
Nd1 0.000 0.000 0.000
Zr1 0.000 0.000 0.500
Sb1 0.250 0.250 0.250
# Calculated total energy, eV per cell: -73.67
# Crystal system: cubic

(3)
# NaZnPS3O (PBE-GGA, optimized geometry)
data_NaZnPS3O
_chemical_formula_sum 'Na1 Zn1 P1 S3 O1'
_space_group_name_H-M_alt 'P 1'
_space_group_IT_number 1
_cell_length_a 5.711
_cell_length_b 5.791
_cell_length_c 5.863
_cell_angle_alpha 62.91
_cell_angle_beta 63.17
_cell_angle_gamma 64.99
loop_
_space_group_symop_operation_xyz
'x,y,z'
loop_
_atom_site_label
_atom_site_fract_x
_atom_site_fract_y
_atom_site_fract_z
Na1 0.000 0.000 0.000
Zn1 0.405 0.487 0.588
P1 0.159 0.248 0.353
S1 0.064 0.893 0.485
S2 0.475 0.336 0.000
S3 0.821 0.538 0.257
O1 0.228 0.250 0.579
# Calculated total energy, eV per cell: -32.20
# Crystal system: triclinic

(4)
# Zn3S2 (PBE-GGA, optimized geometry)
data_Zn3S2
_chemical_formula_sum 'Zn18 S12'
_space_group_name_H-M_alt 'R -3 c'
_space_group_IT_number 167
_space_group_name_Hall '-R 3 2"c'
_cell_length_a 6.4348
_cell_length_b 6.4348
_cell_length_c 16.5818
_cell_angle_alpha 90.00
_cell_angle_beta 90.00
_cell_angle_gamma 120.00
loop_
_atom_site_label
_atom_site_fract_x
_atom_site_fract_y
_atom_site_fract_z
Zn1 0.0000 0.2954 0.2500
S1 0.0000 0.0000 0.1409
# Calculated total energy, eV per cell: -75.64
# Crystal system: trigonal

(5)
# Pa3NbZn (PBE-GGA, optimized geometry)
data_Pa3NbZn
_chemical_formula_sum 'Pa18 Nb6 Zn6'
_space_group_name_H-M_alt 'R -3 c'
_space_group_IT_number 167
_space_group_name_Hall '-R 3 2"c'
_cell_length_a 8.6323
_cell_length_b 8.6323
_cell_length_c 10.4529
_cell_angle_alpha 90.00
_cell_angle_beta 90.00
_cell_angle_gamma 120.00
loop_
_atom_site_label
_atom_site_fract_x
_atom_site_fract_y
_atom_site_fract_z
Pa1 0.0000 0.3359 0.2500
Nb1 0.0000 0.0000 0.0000
Zn1 0.0000 0.0000 0.2500
# Energy of formation, eV/atom: 0.195
# Crystal system: trigonal

(6)
# Zn6Fe (PBE-GGA, optimized geometry)
data_Zn6Fe
_chemical_formula_sum 'Zn24 Fe4'
_space_group_name_H-M_alt 'F m -3 m'
_space_group_IT_number 225
_space_group_name_Hall '-F 4 2 3'
_cell_length_a 7.418
_cell_length_b 7.418
_cell_length_c 7.418
_cell_angle_alpha 90.00
_cell_angle_beta 90.00
_cell_angle_gamma 90.00
loop_
_atom_site_label
_atom_site_fract_x
_atom_site_fract_y
_atom_site_fract_z
Zn1 0.000 0.250 0.250
Fe1 0.000 0.000 0.000
# Energy of formation, eV/atom: -0.016
# Crystal system: cubic

(7)
# LuTlCdTe3 (PBE-GGA, optimized geometry)
data_LuTlCdTe3
_chemical_formula_sum 'Lu4 Tl4 Cd4 Te12'
_space_group_name_H-M_alt 'C m c m'
_space_group_IT_number 63
_space_group_name_Hall '-C 2c 2'
_cell_length_a 4.389
_cell_length_b 15.545
_cell_length_c 11.573
_cell_angle_alpha 90.00
_cell_angle_beta 90.00
_cell_angle_gamma 90.00
loop_
_atom_site_label
_atom_site_fract_x
_atom_site_fract_y
_atom_site_fract_z
Lu1 0.000 0.000 0.000
Tl1 0.000 0.242 0.250
Cd1 0.000 0.460 0.750
Te1 0.000 0.078 0.750
Te2 0.000 0.365 0.544
# Excess energy over the best structure of this formula in the dataset, meV per atom: 0
# Crystal system: orthorhombic

(8)
# TaRe (PBE-GGA, optimized geometry)
data_TaRe
_chemical_formula_sum 'Ta1 Re1'
_space_group_name_H-M_alt 'P 4/m m m'
_space_group_IT_number 123
_space_group_name_Hall '-P 4 2'
_cell_length_a 2.763
_cell_length_b 2.763
_cell_length_c 4.369
_cell_angle_alpha 90.00
_cell_angle_beta 90.00
_cell_angle_gamma 90.00
loop_
_atom_site_label
_atom_site_fract_x
_atom_site_fract_y
_atom_site_fract_z
Ta1 0.000 0.000 0.000
Re1 0.500 0.500 0.500
# Energy of formation, eV/atom: 0.175
# Crystal system: tetragonal

(9)
# Ta4Ge5Pd5 (PBE-GGA, optimized geometry)
data_Ta4Ge5Pd5
_chemical_formula_sum 'Ta8 Ge10 Pd10'
_space_group_name_H-M_alt 'I -4'
_space_group_IT_number 82
_cell_length_a 9.482
_cell_length_b 9.482
_cell_length_c 6.004
_cell_angle_alpha 90.00
_cell_angle_beta 90.00
_cell_angle_gamma 90.00
loop_
_space_group_symop_operation_xyz
'x,y,z'
'y,-x,-z'
'-x,-y,z'
'-y,x,-z'
'x+1/2,y+1/2,z+1/2'
'y+1/2,-x+1/2,-z+1/2'
'-x+1/2,-y+1/2,z+1/2'
'-y+1/2,x+1/2,-z+1/2'
loop_
_atom_site_label
_atom_site_fract_x
_atom_site_fract_y
_atom_site_fract_z
Ta1 0.101 0.298 0.499
Ge1 0.000 0.000 0.500
Ge2 0.095 0.291 0.003
Pd1 0.000 0.500 0.250
Pd2 0.102 0.792 0.741
# Calculated total energy, eV per cell: -198.22
# Crystal system: tetragonal

(10)
# Be2FeAs (PBE-GGA, optimized geometry)
data_Be2FeAs
_chemical_formula_sum 'Be8 Fe4 As4'
_space_group_name_H-M_alt 'F -4 3 m'
_space_group_IT_number 216
_space_group_name_Hall 'F -4 2 3'
_cell_length_a 5.491
_cell_length_b 5.491
_cell_length_c 5.491
_cell_angle_alpha 90.00
_cell_angle_beta 90.00
_cell_angle_gamma 90.00
loop_
_atom_site_label
_atom_site_fract_x
_atom_site_fract_y
_atom_site_fract_z
Be1 0.000 0.000 0.000
Be2 0.250 0.250 0.250
Fe1 0.250 0.250 0.750
As1 0.000 0.000 0.500
# Calculated total energy, eV per cell: -77.71
# Crystal system: cubic

(11)
# GdBrF (PBE-GGA, optimized geometry)
data_GdBrF
_chemical_formula_sum 'Gd3 Br3 F3'
_space_group_name_H-M_alt 'P -6 m 2'
_space_group_IT_number 187
_space_group_name_Hall 'P -6 2'
_cell_length_a 4.1490
_cell_length_b 4.1490
_cell_length_c 11.2553
_cell_angle_alpha 90.00
_cell_angle_beta 90.00
_cell_angle_gamma 120.00
loop_
_atom_site_label
_atom_site_fract_x
_atom_site_fract_y
_atom_site_fract_z
Gd1 0.0000 0.0000 0.0000
Gd2 0.3333 0.6667 0.3492
Br1 0.6667 0.3333 0.1672
Br2 0.6667 0.3333 0.5000
F1 0.0000 0.0000 0.3347
F2 0.3333 0.6667 0.0000
# Calculated total energy, eV per cell: -45.32
# Crystal system: hexagonal

(12)
# Sm2Dy2CI2Cl3 (PBE-GGA, optimized geometry)
data_Sm2Dy2CI2Cl3
_chemical_formula_sum 'Sm4 Dy4 C2 I4 Cl6'
_space_group_name_H-M_alt 'C 1 2/m 1'
_space_group_IT_number 12
_cell_length_a 18.449
_cell_length_b 3.873
_cell_length_c 8.021
_cell_angle_alpha 90.00
_cell_angle_beta 100.77
_cell_angle_gamma 90.00
loop_
_space_group_symop_operation_xyz
'x,y,z'
'-x,-y,-z'
'-x,y,-z'
'x,-y,z'
'x+1/2,y+1/2,z'
'-x+1/2,-y+1/2,-z'
'-x+1/2,y+1/2,-z'
'x+1/2,-y+1/2,z'
loop_
_atom_site_label
_atom_site_fract_x
_atom_site_fract_y
_atom_site_fract_z
Sm1 0.002 0.000 0.288
Dy1 0.132 0.500 0.569
C1 0.000 0.500 0.500
I1 0.176 0.000 0.305
Cl1 0.000 0.500 0.000
Cl2 0.153 0.000 0.813
# Excess energy over the best structure of this formula in the dataset, meV per atom: 0
# Crystal system: monoclinic

(13)
# FeB4 (PBE-GGA, optimized geometry)
data_FeB4
_chemical_formula_sum 'Fe2 B8'
_space_group_name_H-M_alt 'P n n m'
_space_group_IT_number 58
_cell_length_a 4.518
_cell_length_b 5.278
_cell_length_c 2.998
_cell_angle_alpha 90.00
_cell_angle_beta 90.00
_cell_angle_gamma 90.00
loop_
_space_group_symop_operation_xyz
'x,y,z'
'-x,-y,-z'
'-x,-y,z'
'x,y,-z'
'x+1/2,-y+1/2,-z+1/2'
'-x+1/2,y+1/2,z+1/2'
'-x+1/2,y+1/2,-z+1/2'
'x+1/2,-y+1/2,z+1/2'
loop_
_atom_site_label
_atom_site_fract_x
_atom_site_fract_y
_atom_site_fract_z
Fe1 0.000 0.000 0.000
B1 0.160 0.374 0.000
B2 0.250 0.187 0.500
# Calculated total energy, eV per cell: -71.74
# Crystal system: orthorhombic

(14)
# BeNi2Au (PBE-GGA, optimized geometry)
data_BeNi2Au
_chemical_formula_sum 'Be4 Ni8 Au4'
_space_group_name_H-M_alt 'F -4 3 m'
_space_group_IT_number 216
_space_group_name_Hall 'F -4 2 3'
_cell_length_a 5.752
_cell_length_b 5.752
_cell_length_c 5.752
_cell_angle_alpha 90.00
_cell_angle_beta 90.00
_cell_angle_gamma 90.00
loop_
_atom_site_label
_atom_site_fract_x
_atom_site_fract_y
_atom_site_fract_z
Be1 0.000 0.000 0.000
Ni1 0.000 0.000 0.500
Ni2 0.250 0.250 0.750
Au1 0.250 0.250 0.250
# Calculated total energy, eV per cell: -73.21
# Crystal system: cubic

(15)
# TmBeSi (PBE-GGA, optimized geometry)
data_TmBeSi
_chemical_formula_sum 'Tm4 Be4 Si4'
_space_group_name_H-M_alt 'F -4 3 m'
_space_group_IT_number 216
_space_group_name_Hall 'F -4 2 3'
_cell_length_a 6.100
_cell_length_b 6.100
_cell_length_c 6.100
_cell_angle_alpha 90.00
_cell_angle_beta 90.00
_cell_angle_gamma 90.00
loop_
_atom_site_label
_atom_site_fract_x
_atom_site_fract_y
_atom_site_fract_z
Tm1 0.000 0.000 0.000
Be1 0.000 0.000 0.500
Si1 0.250 0.250 0.750
# Calculated total energy, eV per cell: -55.12
# Crystal system: cubic

(16)
# TcAsIrO (PBE-GGA, optimized geometry)
data_TcAsIrO
_chemical_formula_sum 'Tc2 As2 Ir2 O2'
_space_group_name_H-M_alt 'P 4/n m m'
_space_group_IT_number 129
_cell_length_a 4.031
_cell_length_b 4.031
_cell_length_c 6.380
_cell_angle_alpha 90.00
_cell_angle_beta 90.00
_cell_angle_gamma 90.00
loop_
_space_group_symop_operation_xyz
'x,y,z'
'-x,-y,-z'
'-y+1/2,x,z'
'y+1/2,-x,-z'
'-x+1/2,-y+1/2,z'
'x+1/2,y+1/2,-z'
'y,-x+1/2,z'
'-y,x+1/2,-z'
'x+1/2,-y,-z'
'-x+1/2,y,z'
'-y,-x,-z'
'y,x,z'
'-x,y+1/2,-z'
'x,-y+1/2,z'
'y+1/2,x+1/2,-z'
'-y+1/2,-x+1/2,z'
loop_
_atom_site_label
_atom_site_fract_x
_atom_site_fract_y
_atom_site_fract_z
Tc1 0.250 0.750 0.000
As1 0.250 0.250 0.229
Ir1 0.250 0.250 0.686
O1 0.250 0.750 0.500
# Excess energy over the best structure of this formula in the dataset, meV per atom: 351
# Crystal system: tetragonal

(17)
# TbErHg6 (PBE-GGA, optimized geometry)
data_TbErHg6
_chemical_formula_sum 'Tb1 Er1 Hg6'
_space_group_name_H-M_alt 'P -6 m 2'
_space_group_IT_number 187
_space_group_name_Hall 'P -6 2'
_cell_length_a 6.5920
_cell_length_b 6.5920
_cell_length_c 4.9945
_cell_angle_alpha 90.00
_cell_angle_beta 90.00
_cell_angle_gamma 120.00
loop_
_atom_site_label
_atom_site_fract_x
_atom_site_fract_y
_atom_site_fract_z
Tb1 0.0000 0.0000 0.0000
Er1 0.6667 0.3333 0.5000
Hg1 0.9995 0.4998 0.0000
Hg2 0.1670 0.3340 0.5000
# Energy of formation, eV/atom: -0.340
# Crystal system: hexagonal

(18)
# Hf4Pb2CN (PBE-GGA, optimized geometry)
data_Hf4Pb2CN
_chemical_formula_sum 'Hf4 Pb2 C1 N1'
_space_group_name_H-M_alt 'P -3 m 1'
_space_group_IT_number 164
_space_group_name_Hall '-P 3 2"'
_cell_length_a 3.3368
_cell_length_b 3.3368
_cell_length_c 14.7359
_cell_angle_alpha 90.00
_cell_angle_beta 90.00
_cell_angle_gamma 120.00
loop_
_atom_site_label
_atom_site_fract_x
_atom_site_fract_y
_atom_site_fract_z
Hf1 0.3333 0.6667 0.0822
Hf2 0.3333 0.6667 0.4181
Pb1 0.3333 0.6667 0.7489
C1 0.0000 0.0000 0.0000
N1 0.0000 0.0000 0.5000
# Calculated total energy, eV per cell: -70.74
# Crystal system: trigonal

(19)
# TaCuGe2 (PBE-GGA, optimized geometry)
data_TaCuGe2
_chemical_formula_sum 'Ta4 Cu4 Ge8'
_space_group_name_H-M_alt 'F -4 3 m'
_space_group_IT_number 216
_space_group_name_Hall 'F -4 2 3'
_cell_length_a 6.408
_cell_length_b 6.408
_cell_length_c 6.408
_cell_angle_alpha 90.00
_cell_angle_beta 90.00
_cell_angle_gamma 90.00
loop_
_atom_site_label
_atom_site_fract_x
_atom_site_fract_y
_atom_site_fract_z
Ta1 0.000 0.000 0.000
Cu1 0.250 0.250 0.250
Ge1 0.000 0.000 0.500
Ge2 0.250 0.250 0.750
# Calculated total energy, eV per cell: -91.74
# Crystal system: cubic

(20)
# SrSm2Nb2O9 (PBE-GGA, optimized geometry)
data_SrSm2Nb2O9
_chemical_formula_sum 'Sr4 Sm8 Nb8 O36'
_space_group_name_H-M_alt 'C m c 21'
_space_group_IT_number 36
_cell_length_a 24.598
_cell_length_b 5.548
_cell_length_c 5.590
_cell_angle_alpha 90.00
_cell_angle_beta 90.00
_cell_angle_gamma 90.00
loop_
_space_group_symop_operation_xyz
'x,y,z'
'-x,-y,z+1/2'
'-x,y,z'
'x,-y,z+1/2'
'x+1/2,y+1/2,z'
'-x+1/2,-y+1/2,z+1/2'
'-x+1/2,y+1/2,z'
'x+1/2,-y+1/2,z+1/2'
loop_
_atom_site_label
_atom_site_fract_x
_atom_site_fract_y
_atom_site_fract_z
Sr1 0.000 0.244 0.000
Sm1 0.204 0.225 0.909
Nb1 0.086 0.250 0.477
O1 0.000 0.313 0.456
O2 0.067 0.031 0.741
O3 0.093 0.453 0.165
O4 0.159 0.157 0.486
O5 0.242 0.497 0.164
# Calculated total energy, eV per cell: -470.54
# Crystal system: orthorhombic

(21)
# SrPrCuTeS2 (PBE-GGA, optimized geometry)
data_SrPrCuTeS2
_chemical_formula_sum 'Sr4 Pr4 Cu4 Te4 S8'
_space_group_name_H-M_alt 'C m c m'
_space_group_IT_number 63
_space_group_name_Hall '-C 2c 2'
_cell_length_a 4.099
_cell_length_b 14.301
_cell_length_c 11.238
_cell_angle_alpha 90.00
_cell_angle_beta 90.00
_cell_angle_gamma 90.00
loop_
_atom_site_label
_atom_site_fract_x
_atom_site_fract_y
_atom_site_fract_z
Sr1 0.000 0.212 0.250
Pr1 0.000 0.000 0.000
Cu1 0.000 0.483 0.750
Te1 0.000 0.103 0.750
S1 0.000 0.379 0.588
# Calculated total energy, eV per cell: -121.91
# Crystal system: orthorhombic

(22)
# Zn2SO (PBE-GGA, optimized geometry)
data_Zn2SO
_chemical_formula_sum 'Zn8 S4 O4'
_space_group_name_H-M_alt 'P n m a'
_space_group_IT_number 62
_cell_length_a 5.589
_cell_length_b 3.422
_cell_length_c 12.558
_cell_angle_alpha 90.00
_cell_angle_beta 90.00
_cell_angle_gamma 90.00
loop_
_space_group_symop_operation_xyz
'x,y,z'
'-x,-y,-z'
'-x+1/2,-y,z+1/2'
'x+1/2,y,-z+1/2'
'x+1/2,-y+1/2,-z+1/2'
'-x+1/2,y+1/2,z+1/2'
'-x,y+1/2,-z'
'x,-y+1/2,z'
loop_
_atom_site_label
_atom_site_fract_x
_atom_site_fract_y
_atom_site_fract_z
Zn1 0.138 0.250 0.181
Zn2 0.188 0.750 0.405
S1 0.228 0.250 0.571
O1 0.218 0.750 0.824
# Excess energy over the best structure of this formula in the dataset, meV per atom: 100
# Crystal system: orthorhombic

(23)
# HfMgNiHg (PBE-GGA, optimized geometry)
data_HfMgNiHg
_chemical_formula_sum 'Hf4 Mg4 Ni4 Hg4'
_space_group_name_H-M_alt 'F -4 3 m'
_space_group_IT_number 216
_space_group_name_Hall 'F -4 2 3'
_cell_length_a 6.596
_cell_length_b 6.596
_cell_length_c 6.596
_cell_angle_alpha 90.00
_cell_angle_beta 90.00
_cell_angle_gamma 90.00
loop_
_atom_site_label
_atom_site_fract_x
_atom_site_fract_y
_atom_site_fract_z
Hf1 0.000 0.000 0.000
Mg1 0.000 0.000 0.500
Ni1 0.250 0.250 0.750
Hg1 0.250 0.250 0.250
# Excess energy over the best structure of this formula in the dataset, meV per atom: 0
# Crystal system: cubic

(24)
# KRbB2Pt (PBE-GGA, optimized geometry)
data_KRbB2Pt
_chemical_formula_sum 'K1 Rb1 B2 Pt1'
_space_group_name_H-M_alt 'P 3 m 1'
_space_group_IT_number 156
_cell_length_a 5.5427
_cell_length_b 5.5427
_cell_length_c 5.5971
_cell_angle_alpha 90.00
_cell_angle_beta 90.00
_cell_angle_gamma 120.00
loop_
_space_group_symop_operation_xyz
'x,y,z'
'-y,x-y,z'
'-x+y,-x,z'
'-y,-x,z'
'-x+y,y,z'
'x,x-y,z'
loop_
_atom_site_label
_atom_site_fract_x
_atom_site_fract_y
_atom_site_fract_z
K1 0.0000 0.0000 0.0000
Rb1 0.3333 0.6667 0.4991
B1 0.6667 0.3333 0.5989
B2 0.6667 0.3333 0.8833
Pt1 0.6667 0.3333 0.2408
# Calculated total energy, eV per cell: -20.14
# Crystal system: trigonal